Entry 1:
HoLuNO: relaxed, GGA-PBE.

Unit cell a=4.302 b=4.302 c=7.836 alpha=90.00 beta=90.00 gamma=90.00
Space group P4/nmm (No. 129, origin choice 2)
Symmetry-distinct sites (fractional):
Ho (0.250, 0.250, 0.098) [2 per cell]
Lu (0.250, 0.750, 0.500) [2 per cell]
N (0.250, 0.250, 0.574) [2 per cell]
O (0.250, 0.750, 0.000) [2 per cell]

Summary:
Total DFT energy (no corrections) ... -7.50 eV per atom

***

Entry 2:
NaNdNO: relaxed, GGA-PBE.

Unit cell a=6.831 b=8.419 c=4.893 alpha=90.00 beta=90.00 gamma=90.00
Space group Pca2_1 (No. 29)
Symmetry-distinct sites (fractional):
Na (0.091, 0.098, 0.000) [4 per cell]
Nd (0.053, 0.647, 0.996) [4 per cell]
N (0.102, 0.612, 0.496) [4 per cell]
O (0.084, 0.125, 0.501) [4 per cell]

Summary:
Total DFT energy (no corrections) ... -6.00 eV per atom

***

Entry 3:
Co3AgTe5: relaxed, GGA-PBE.

Unit cell a=5.5525 b=5.5525 c=7.5607 alpha=90.00 beta=90.00 gamma=120.00
Space group P6/mmm (No. 191)
Symmetry-distinct sites (fractional):
Co (0.0000, 0.5000, 0.0000) [3 per cell]
Ag (0.0000, 0.0000, 0.5000) [1 per cell]
Te (0.0000, 0.0000, 0.0000) [1 per cell]
Te (0.3333, 0.6667, 0.2629) [4 per cell]

Summary:
Total DFT energy (no corrections) ... -4.32 eV per atom